Density functional theory data (PBEsol) for a relaxed BeCr3Si crystal.

abc: 3.8662 3.8662 3.8662
angles: 90.00 90.00 90.00
Last column: nearest neighbours and their distance in Å.
Sites, in units of the cell vectors:
Be: 0.0000 0.0000 0.0000  6 Cr 1.93
Cr: 0.0000 0.0000 0.5000  2 Be 1.93
Cr: 0.0000 0.5000 0.0000  2 Be 1.93
Cr: 0.5000 0.0000 0.0000  2 Be 1.93
Si: 0.5000 0.5000 0.5000  12 Cr 2.73

The value obtained for the electronic total energy is -36.9 eV for the cell shown. The space group is Pm-3m, No. 221. The value obtained for the raw formation energy is 0.722 eV per atom.

Density functional theory data (PBEsol) for a relaxed TiBe2CrSi crystal.

abc: 4.1469 4.1469 4.0958
angles: 90.00 90.00 90.00
Last column: nearest neighbours and their distance in Å.
Sites, in units of the cell vectors:
Ti: 0.0000 0.0000 0.0000  2 Cr 2.05
Be: 0.0000 0.5000 0.5000  2 Cr 2.07
Be: 0.5000 0.0000 0.5000  2 Cr 2.07
Cr: 0.0000 0.0000 0.5000  2 Ti 2.05, 4 Be 2.07
Si: 0.5000 0.5000 0.0000  8 Be 2.91, 4 Ti 2.93

The value obtained for the electronic total energy is -27.6 eV for the cell shown. The space group is P4/mmm, No. 123. The value obtained for the raw formation energy is 0.935 eV per atom.

Density functional theory data (PBEsol) for a relaxed Be3CrSn crystal.

abc: 4.1765 4.1765 4.1765
angles: 90.00 90.00 90.00
Last column: nearest neighbours and their distance in Å.
Sites, in units of the cell vectors:
Be: 0.0000 0.0000 0.5000  2 Cr 2.09
Be: 0.0000 0.5000 0.0000  2 Cr 2.09
Be: 0.5000 0.0000 0.0000  2 Cr 2.09
Cr: 0.0000 0.0000 0.0000  6 Be 2.09
Sn: 0.5000 0.5000 0.5000  12 Be 2.95

The value obtained for the electronic total energy is -20.8 eV for the cell shown. The space group is Pm-3m, No. 221. The calculation puts the formation energy from the elements at 1132 meV/atom.

In the order shown, the computed M_tot values come out to 0.0, 0.0, 1.3 μB per cell.